--- i ---
# DyYTh2, optimized geometry, DFT PBE-GGA
data_DyYTh2
_symmetry_space_group_name_H-M 'P 4/m m m'
_symmetry_Int_Tables_number 123
_symmetry_space_group_name_Hall '-P 4 2'
_cell_length_a 5.019
_cell_length_b 5.019
_cell_length_c 5.101
_cell_angle_alpha 90.00
_cell_angle_beta 90.00
_cell_angle_gamma 90.00
loop_
_atom_site_label
_atom_site_type_symbol
_atom_site_fract_x
_atom_site_fract_y
_atom_site_fract_z
Dy1 Dy 0.000 0.000 0.000
Y1 Y 0.500 0.500 0.000
Th1 Th 0.000 0.500 0.500
# Crystal system: tetragonal



--- ii ---
# DyYTh2, optimized geometry, DFT PBE-GGA
data_DyYTh2
_symmetry_space_group_name_H-M 'F m -3 m'
_symmetry_Int_Tables_number 225
_symmetry_space_group_name_Hall '-F 4 2 3'
_cell_length_a 8.010
_cell_length_b 8.010
_cell_length_c 8.010
_cell_angle_alpha 90.00
_cell_angle_beta 90.00
_cell_angle_gamma 90.00
loop_
_atom_site_label
_atom_site_type_symbol
_atom_site_fract_x
_atom_site_fract_y
_atom_site_fract_z
Dy1 Dy 0.000 0.000 0.000
Y1 Y 0.000 0.000 0.500
Th1 Th 0.250 0.250 0.250
# Crystal system: cubic



--- iii ---
# DyYTh2, optimized geometry, DFT PBE-GGA
data_DyYTh2
_symmetry_space_group_name_H-M 'R -3 m'
_symmetry_Int_Tables_number 166
_symmetry_space_group_name_Hall '-R 3 2"'
_cell_length_a 3.5766
_cell_length_b 3.5766
_cell_length_c 34.5550
_cell_angle_alpha 90.00
_cell_angle_beta 90.00
_cell_angle_gamma 120.00
loop_
_atom_site_label
_atom_site_type_symbol
_atom_site_fract_x
_atom_site_fract_y
_atom_site_fract_z
Dy1 Dy 0.0000 0.0000 0.0000
Y1 Y 0.0000 0.0000 0.5000
Th1 Th 0.0000 0.0000 0.2505
# Crystal system: trigonal



Each structure's energy above the most stable one, in kJ/mol of atoms: i 1.6; ii 10.8; iii 0.0.



--- i ---
# Dy4Y3Th, optimized geometry, DFT PBE-GGA
data_Dy4Y3Th
_symmetry_space_group_name_H-M 'C m m m'
_symmetry_Int_Tables_number 65
_symmetry_space_group_name_Hall '-C 2 2'
_cell_length_a 11.776
_cell_length_b 13.283
_cell_length_c 3.378
_cell_angle_alpha 90.00
_cell_angle_beta 90.00
_cell_angle_gamma 90.00
loop_
_atom_site_label
_atom_site_type_symbol
_atom_site_fract_x
_atom_site_fract_y
_atom_site_fract_z
Dy1 Dy 0.000 0.249 0.000
Dy2 Dy 0.241 0.000 0.500
Y1 Y 0.000 0.500 0.000
Y2 Y 0.250 0.250 0.500
Th1 Th 0.000 0.000 0.000
# Crystal system: orthorhombic



--- ii ---
# Dy4Y3Th, optimized geometry, DFT PBE-GGA
data_Dy4Y3Th
_symmetry_space_group_name_H-M 'C 1 2/m 1'
_symmetry_Int_Tables_number 12
_cell_length_a 23.376
_cell_length_b 3.447
_cell_length_c 6.748
_cell_angle_alpha 90.00
_cell_angle_beta 106.73
_cell_angle_gamma 90.00
loop_
_symmetry_equiv_pos_as_xyz
'x,y,z'
'-x,-y,-z'
'-x,y,-z'
'x,-y,z'
'x+1/2,y+1/2,z'
'-x+1/2,-y+1/2,-z'
'-x+1/2,y+1/2,-z'
'x+1/2,-y+1/2,z'
loop_
_atom_site_label
_atom_site_type_symbol
_atom_site_fract_x
_atom_site_fract_y
_atom_site_fract_z
Dy1 Dy 0.124 0.000 0.364
Dy2 Dy 0.242 0.500 0.245
Y1 Y 0.000 0.000 0.500
Y2 Y 0.125 0.000 0.886
Th1 Th 0.000 0.500 0.000
# Crystal system: monoclinic



Each structure's energy above the most stable one, in kJ/mol of atoms: i 25.0; ii 0.0.



--- i ---
# Dy8Y2Th, optimized geometry, DFT PBE-GGA
data_Dy8Y2Th
_symmetry_space_group_name_H-M 'C 1 2/m 1'
_symmetry_Int_Tables_number 12
_cell_length_a 18.119
_cell_length_b 5.026
_cell_length_c 7.948
_cell_angle_alpha 90.00
_cell_angle_beta 105.28
_cell_angle_gamma 90.00
loop_
_symmetry_equiv_pos_as_xyz
'x,y,z'
'-x,-y,-z'
'-x,y,-z'
'x,-y,z'
'x+1/2,y+1/2,z'
'-x+1/2,-y+1/2,-z'
'-x+1/2,y+1/2,-z'
'x+1/2,-y+1/2,z'
loop_
_atom_site_label
_atom_site_type_symbol
_atom_site_fract_x
_atom_site_fract_y
_atom_site_fract_z
Dy1 Dy 0.045 0.000 0.232
Dy2 Dy 0.090 0.500 0.952
Dy3 Dy 0.135 0.000 0.678
Dy4 Dy 0.180 0.500 0.408
Y1 Y 0.228 0.000 0.137
Th1 Th 0.000 0.500 0.500
# Crystal system: monoclinic



--- ii ---
# Dy8Y2Th, optimized geometry, DFT PBE-GGA
data_Dy8Y2Th
_symmetry_space_group_name_H-M 'C 1 2/m 1'
_symmetry_Int_Tables_number 12
_cell_length_a 19.235
_cell_length_b 6.823
_cell_length_c 5.547
_cell_angle_alpha 90.00
_cell_angle_beta 93.54
_cell_angle_gamma 90.00
loop_
_symmetry_equiv_pos_as_xyz
'x,y,z'
'-x,-y,-z'
'-x,y,-z'
'x,-y,z'
'x+1/2,y+1/2,z'
'-x+1/2,-y+1/2,-z'
'-x+1/2,y+1/2,-z'
'x+1/2,-y+1/2,z'
loop_
_atom_site_label
_atom_site_type_symbol
_atom_site_fract_x
_atom_site_fract_y
_atom_site_fract_z
Dy1 Dy 0.048 0.000 0.233
Dy2 Dy 0.131 0.238 0.728
Dy3 Dy 0.184 0.500 0.226
Y1 Y 0.217 0.000 0.252
Th1 Th 0.000 0.500 0.000
# Crystal system: monoclinic



Each structure's energy above the most stable one, in kJ/mol of atoms: i 0.0; ii 15.4.



--- i ---
# Dy3Y2Th2, optimized geometry, DFT PBE-GGA
data_Dy3Y2Th2
_symmetry_space_group_name_H-M 'P -1'
_symmetry_Int_Tables_number 2
_cell_length_a 3.577
_cell_length_b 7.938
_cell_length_c 8.734
_cell_angle_alpha 111.19
_cell_angle_beta 90.05
_cell_angle_gamma 103.01
loop_
_symmetry_equiv_pos_as_xyz
'x,y,z'
'-x,-y,-z'
loop_
_atom_site_label
_atom_site_type_symbol
_atom_site_fract_x
_atom_site_fract_y
_atom_site_fract_z
Dy1 Dy 0.000 0.000 0.000
Dy2 Dy 0.138 0.276 0.434
Y1 Y 0.283 0.568 0.859
Th1 Th 0.430 0.860 0.288
# Crystal system: triclinic



--- ii ---
# Dy3Y2Th2, optimized geometry, DFT PBE-GGA
data_Dy3Y2Th2
_symmetry_space_group_name_H-M 'C 1 2/m 1'
_symmetry_Int_Tables_number 12
_cell_length_a 17.454
_cell_length_b 3.449
_cell_length_c 8.600
_cell_angle_alpha 90.00
_cell_angle_beta 119.11
_cell_angle_gamma 90.00
loop_
_symmetry_equiv_pos_as_xyz
'x,y,z'
'-x,-y,-z'
'-x,y,-z'
'x,-y,z'
'x+1/2,y+1/2,z'
'-x+1/2,-y+1/2,-z'
'-x+1/2,y+1/2,-z'
'x+1/2,-y+1/2,z'
loop_
_atom_site_label
_atom_site_type_symbol
_atom_site_fract_x
_atom_site_fract_y
_atom_site_fract_z
Dy1 Dy 0.000 0.000 0.000
Dy2 Dy 0.215 0.000 0.133
Y1 Y 0.064 0.500 0.721
Th1 Th 0.152 0.000 0.458
# Crystal system: monoclinic



Each structure's energy above the most stable one, in kJ/mol of atoms: i 0.0; ii 10.9.



--- i ---
# Dy7Y12Th, optimized geometry, DFT PBE-GGA
data_Dy7Y12Th
_symmetry_space_group_name_H-M 'I m -3 m'
_symmetry_Int_Tables_number 229
_symmetry_space_group_name_Hall '-I 4 2 3'
_cell_length_a 11.284
_cell_length_b 11.284
_cell_length_c 11.284
_cell_angle_alpha 90.00
_cell_angle_beta 90.00
_cell_angle_gamma 90.00
loop_
_atom_site_label
_atom_site_type_symbol
_atom_site_fract_x
_atom_site_fract_y
_atom_site_fract_z
Dy1 Dy 0.000 0.000 0.500
Dy2 Dy 0.250 0.250 0.250
Y1 Y 0.000 0.248 0.248
Th1 Th 0.000 0.000 0.000
# Crystal system: cubic



--- ii ---
# Dy7Y12Th, optimized geometry, DFT PBE-GGA
data_Dy7Y12Th
_symmetry_space_group_name_H-M 'R -3'
_symmetry_Int_Tables_number 148
_symmetry_space_group_name_Hall '-R 3'
_cell_length_a 12.2701
_cell_length_b 12.2701
_cell_length_c 15.3405
_cell_angle_alpha 90.00
_cell_angle_beta 90.00
_cell_angle_gamma 120.00
loop_
_atom_site_label
_atom_site_type_symbol
_atom_site_fract_x
_atom_site_fract_y
_atom_site_fract_z
Dy1 Dy 0.0000 0.0000 0.0000
Dy2 Dy 0.0404 0.1852 0.3060
Y1 Y 0.0150 0.4452 0.2029
Y2 Y 0.0585 0.5863 0.5889
Th1 Th 0.0000 0.0000 0.5000
# Crystal system: trigonal



Each structure's energy above the most stable one, in kJ/mol of atoms: i 47.1; ii 0.0.



--- i ---
# Dy2Y6Th, optimized geometry, DFT PBE-GGA
data_Dy2Y6Th
_symmetry_space_group_name_H-M 'C 1 2/c 1'
_symmetry_Int_Tables_number 15
_cell_length_a 16.423
_cell_length_b 11.277
_cell_length_c 6.484
_cell_angle_alpha 90.00
_cell_angle_beta 99.79
_cell_angle_gamma 90.00
loop_
_symmetry_equiv_pos_as_xyz
'x,y,z'
'-x,-y,-z'
'-x,y,-z+1/2'
'x,-y,z+1/2'
'x+1/2,y+1/2,z'
'-x+1/2,-y+1/2,-z'
'-x+1/2,y+1/2,-z+1/2'
'x+1/2,-y+1/2,z+1/2'
loop_
_atom_site_label
_atom_site_type_symbol
_atom_site_fract_x
_atom_site_fract_y
_atom_site_fract_z
Dy1 Dy 0.190 0.040 0.405
Y1 Y 0.021 0.143 0.009
Y2 Y 0.131 0.377 0.262
Y3 Y 0.179 0.260 0.775
Th1 Th 0.000 0.399 0.750
# Crystal system: monoclinic



--- ii ---
# Dy2Y6Th, optimized geometry, DFT PBE-GGA
data_Dy2Y6Th
_symmetry_space_group_name_H-M 'R 3 m'
_symmetry_Int_Tables_number 160
_symmetry_space_group_name_Hall 'R 3 -2"'
_cell_length_a 7.4226
_cell_length_b 7.4226
_cell_length_c 19.4135
_cell_angle_alpha 90.00
_cell_angle_beta 90.00
_cell_angle_gamma 120.00
loop_
_atom_site_label
_atom_site_type_symbol
_atom_site_fract_x
_atom_site_fract_y
_atom_site_fract_z
Dy1 Dy 0.0000 0.0000 0.0000
Dy2 Dy 0.0000 0.0000 0.1739
Y1 Y 0.0105 0.5053 0.1893
Y2 Y 0.0472 0.5236 0.9883
Th1 Th 0.0000 0.0000 0.7364
# Crystal system: trigonal



Each structure's energy above the most stable one, in kJ/mol of atoms: i 0.0; ii 24.5.



--- i ---
# Dy6YTh, optimized geometry, DFT PBE-GGA
data_Dy6YTh
_symmetry_space_group_name_H-M 'P -1'
_symmetry_Int_Tables_number 2
_cell_length_a 6.588
_cell_length_b 6.637
_cell_length_c 6.740
_cell_angle_alpha 60.84
_cell_angle_beta 85.37
_cell_angle_gamma 88.08
loop_
_symmetry_equiv_pos_as_xyz
'x,y,z'
'-x,-y,-z'
loop_
_atom_site_label
_atom_site_type_symbol
_atom_site_fract_x
_atom_site_fract_y
_atom_site_fract_z
Dy1 Dy 0.243 0.066 0.021
Dy2 Dy 0.251 0.026 0.522
Dy3 Dy 0.256 0.565 0.010
Y1 Y 0.000 0.500 0.500
Th1 Th 0.500 0.500 0.500
# Crystal system: triclinic



--- ii ---
# Dy6YTh, optimized geometry, DFT PBE-GGA
data_Dy6YTh
_symmetry_space_group_name_H-M 'P 4/m m m'
_symmetry_Int_Tables_number 123
_symmetry_space_group_name_Hall '-P 4 2'
_cell_length_a 5.035
_cell_length_b 5.035
_cell_length_c 9.992
_cell_angle_alpha 90.00
_cell_angle_beta 90.00
_cell_angle_gamma 90.00
loop_
_atom_site_label
_atom_site_type_symbol
_atom_site_fract_x
_atom_site_fract_y
_atom_site_fract_z
Dy1 Dy 0.000 0.000 0.000
Dy2 Dy 0.000 0.000 0.500
Dy3 Dy 0.000 0.500 0.247
Y1 Y 0.500 0.500 0.500
Th1 Th 0.500 0.500 0.000
# Crystal system: tetragonal



Each structure's energy above the most stable one, in kJ/mol of atoms: i 18.1; ii 0.0.



--- i ---
# Dy3YTh, optimized geometry, DFT PBE-GGA
data_Dy3YTh
_symmetry_space_group_name_H-M 'R -3'
_symmetry_Int_Tables_number 148
_symmetry_space_group_name_Hall '-R 3'
_cell_length_a 6.0751
_cell_length_b 6.0751
_cell_length_c 33.2968
_cell_angle_alpha 90.00
_cell_angle_beta 90.00
_cell_angle_gamma 120.00
loop_
_atom_site_label
_atom_site_type_symbol
_atom_site_fract_x
_atom_site_fract_y
_atom_site_fract_z
Dy1 Dy 0.0014 0.3363 0.2511
Y1 Y 0.0000 0.0000 0.1664
Th1 Th 0.0000 0.0000 0.3339
# Crystal system: trigonal



--- ii ---
# Dy3YTh, optimized geometry, DFT PBE-GGA
data_Dy3YTh
_symmetry_space_group_name_H-M 'C m m m'
_symmetry_Int_Tables_number 65
_symmetry_space_group_name_Hall '-C 2 2'
_cell_length_a 5.325
_cell_length_b 11.247
_cell_length_c 10.958
_cell_angle_alpha 90.00
_cell_angle_beta 90.00
_cell_angle_gamma 90.00
loop_
_atom_site_label
_atom_site_type_symbol
_atom_site_fract_x
_atom_site_fract_y
_atom_site_fract_z
Dy1 Dy 0.000 0.000 0.172
Dy2 Dy 0.000 0.348 0.303
Y1 Y 0.000 0.346 0.000
Th1 Th 0.000 0.136 0.500
# Crystal system: orthorhombic



Each structure's energy above the most stable one, in kJ/mol of atoms: i 20.2; ii 0.0.



--- i ---
# DyY4Th, optimized geometry, DFT PBE-GGA
data_DyY4Th
_symmetry_space_group_name_H-M 'C 1 2/c 1'
_symmetry_Int_Tables_number 15
_cell_length_a 8.891
_cell_length_b 14.528
_cell_length_c 6.641
_cell_angle_alpha 90.00
_cell_angle_beta 110.54
_cell_angle_gamma 90.00
loop_
_symmetry_equiv_pos_as_xyz
'x,y,z'
'-x,-y,-z'
'-x,y,-z+1/2'
'x,-y,z+1/2'
'x+1/2,y+1/2,z'
'-x+1/2,-y+1/2,-z'
'-x+1/2,y+1/2,-z+1/2'
'x+1/2,-y+1/2,z+1/2'
loop_
_atom_site_label
_atom_site_type_symbol
_atom_site_fract_x
_atom_site_fract_y
_atom_site_fract_z
Dy1 Dy 0.000 0.091 0.250
Y1 Y 0.093 0.307 0.539
Y2 Y 0.202 0.122 0.875
Th1 Th 0.000 0.499 0.250
# Crystal system: monoclinic



--- ii ---
# DyY4Th, optimized geometry, DFT PBE-GGA
data_DyY4Th
_symmetry_space_group_name_H-M 'C 1 2/m 1'
_symmetry_Int_Tables_number 12
_cell_length_a 11.270
_cell_length_b 5.068
_cell_length_c 7.135
_cell_angle_alpha 90.00
_cell_angle_beta 108.04
_cell_angle_gamma 90.00
loop_
_symmetry_equiv_pos_as_xyz
'x,y,z'
'-x,-y,-z'
'-x,y,-z'
'x,-y,z'
'x+1/2,y+1/2,z'
'-x+1/2,-y+1/2,-z'
'-x+1/2,y+1/2,-z'
'x+1/2,-y+1/2,z'
loop_
_atom_site_label
_atom_site_type_symbol
_atom_site_fract_x
_atom_site_fract_y
_atom_site_fract_z
Dy1 Dy 0.000 0.000 0.000
Y1 Y 0.163 0.500 0.828
Y2 Y 0.166 0.500 0.337
Th1 Th 0.000 0.000 0.500
# Crystal system: monoclinic



Each structure's energy above the most stable one, in kJ/mol of atoms: i 12.4; ii 0.0.



--- i ---
# Dy3Y6Th, optimized geometry, DFT PBE-GGA
data_Dy3Y6Th
_symmetry_space_group_name_H-M 'P 1 21/c 1'
_symmetry_Int_Tables_number 14
_cell_length_a 9.976
_cell_length_b 6.350
_cell_length_c 11.898
_cell_angle_alpha 90.00
_cell_angle_beta 119.01
_cell_angle_gamma 90.00
loop_
_symmetry_equiv_pos_as_xyz
'x,y,z'
'-x,-y,-z'
'-x,y+1/2,-z+1/2'
'x,-y+1/2,z+1/2'
loop_
_atom_site_label
_atom_site_type_symbol
_atom_site_fract_x
_atom_site_fract_y
_atom_site_fract_z
Dy1 Dy 0.000 0.000 0.000
Dy2 Dy 0.264 0.222 0.213
Y1 Y 0.077 0.004 0.373
Y2 Y 0.313 0.505 0.459
Y3 Y 0.373 0.715 0.215
Th1 Th 0.500 0.000 0.500
# Crystal system: monoclinic



--- ii ---
# Dy3Y6Th, optimized geometry, DFT PBE-GGA
data_Dy3Y6Th
_symmetry_space_group_name_H-M 'C m c 21'
_symmetry_Int_Tables_number 36
_cell_length_a 11.113
_cell_length_b 18.887
_cell_length_c 6.279
_cell_angle_alpha 90.00
_cell_angle_beta 90.00
_cell_angle_gamma 90.00
loop_
_symmetry_equiv_pos_as_xyz
'x,y,z'
'-x,-y,z+1/2'
'-x,y,z'
'x,-y,z+1/2'
'x+1/2,y+1/2,z'
'-x+1/2,-y+1/2,z+1/2'
'-x+1/2,y+1/2,z'
'x+1/2,-y+1/2,z+1/2'
loop_
_atom_site_label
_atom_site_type_symbol
_atom_site_fract_x
_atom_site_fract_y
_atom_site_fract_z
Dy1 Dy 0.000 0.112 0.000
Dy2 Dy 0.173 0.389 0.616
Y1 Y 0.000 0.226 0.421
Y2 Y 0.000 0.453 0.172
Y3 Y 0.164 0.044 0.530
Y4 Y 0.246 0.209 0.700
Th1 Th 0.000 0.295 0.921
# Crystal system: orthorhombic



Each structure's energy above the most stable one, in kJ/mol of atoms: i 2.9; ii 0.0.